Entry 1:
K2MnAlF6 | PBE with a Hubbard U | relaxed

The value obtained for the total magnetic moment is 11.86 μB/cell. As for the calculated total energy: -5.25 eV/atom.

It has space group Immm (No. 71), with a = 6.0461 Å, b = 6.0583 Å, c = 8.5534 Å, α = 90.00°, β = 90.00° and γ = 90.00°. Symmetry generates all atoms from K at (0.0000, 0.0000, 0.2499), Mn at (0.0000, 0.5000, 0.0000), Al at (0.0000, 0.5000, 0.5000), F at (0.0000, 0.5000, 0.2841) and F at (0.2160, 0.2846, 0.5000).



Entry 2:
KMnAl2F8 | PBE with a Hubbard U | relaxed

The value obtained for the total magnetic moment is 15.98 μB/cell. As for the calculated total energy: -5.53 eV/atom.

It has space group R-3 (No. 148, hexagonal axes), with a = 5.4352 Å, b = 5.4352 Å, c = 23.6896 Å, α = 90.00°, β = 90.00° and γ = 120.00°. Symmetry generates all atoms from K at (0.0000, 0.0000, 0.0000), Mn at (0.0000, 0.0000, 0.5000), Al at (0.0000, 0.0000, 0.2444), F at (0.0000, 0.0000, 0.3164) and F at (0.0191, 0.3140, 0.2235).



Question: total magnetic moment of number 2 (KMnAl2F8)?
Answer: 15.98 μB/cell